Below is a relaxed RbCrIr3 crystal, with properties calculated at the PBE level.

Cell lengths 4.7813, 4.7813, 4.7813 Å; angles 90.00, 90.00, 90.00 degrees
Atoms (fractional coordinates):
Rb (0.0000, 0.0000, 0.0000)
Cr (0.5000, 0.5000, 0.5000)
Ir (0.0000, 0.0000, 0.5000)
Ir (0.0000, 0.5000, 0.0000)
Ir (0.5000, 0.0000, 0.0000)

Values from the calculation:
**SG**: Pm-3m
**Excess energy over the best structure of this formula in the dataset**: 2442 meV/atom
**N(E_F)**: 14.9 states/eV/f.u.

***

Below is a relaxed RbCr2Ir crystal, with properties calculated at the PBE level.

Cell lengths 8.7132, 8.7132, 8.7132 Å; angles 140.78, 140.78, 56.67 degrees
Atoms (fractional coordinates):
Rb (0.3750, 0.6250, 0.7500)
Rb (0.6250, 0.3750, 0.2500)
Cr (0.0000, 0.0000, 0.0000)
Cr (0.0000, 0.0000, 0.5000)
Cr (0.0000, 0.5000, 0.0000)
Cr (0.5000, 0.0000, 0.5000)
Ir (0.1250, 0.8750, 0.2500)
Ir (0.8750, 0.1250, 0.7500)

Values from the calculation:
**SG**: I4_1/amd
**Excess energy over the best structure of this formula in the dataset**: 0 meV/atom
**N(E_F)**: 2.4 states/eV/f.u.

***

Below is a relaxed RbCrIr3 crystal, with properties calculated at the PBE level.

Cell lengths 4.6524, 4.6524, 4.6524 Å; angles 90.00, 90.00, 90.00 degrees
Atoms (fractional coordinates):
Rb (0.0000, 0.0000, 0.0000)
Cr (0.5000, 0.5000, 0.5000)
Ir (0.0000, 0.5000, 0.5000)
Ir (0.5000, 0.0000, 0.5000)
Ir (0.5000, 0.5000, 0.0000)

Values from the calculation:
**SG**: Pm-3m
**Excess energy over the best structure of this formula in the dataset**: 0 meV/atom
**N(E_F)**: 5.3 states/eV/f.u.

***

Below is a relaxed RbCr3Ir crystal, with properties calculated at the PBE level.

Cell lengths 4.9871, 4.9871, 4.9871 Å; angles 90.00, 90.00, 90.00 degrees
Atoms (fractional coordinates):
Rb (0.0000, 0.0000, 0.0000)
Cr (0.0000, 0.5000, 0.5000)
Cr (0.5000, 0.0000, 0.5000)
Cr (0.5000, 0.5000, 0.0000)
Ir (0.5000, 0.5000, 0.5000)

Values from the calculation:
**SG**: Pm-3m
**N(E_F)**: 6.5 states/eV/f.u.
**Energy**: -6.650 eV per atom